Density functional theory data (GGA-PBE) for crystalline BaCoBiP at its relaxed geometry.

Results
calculated total energy: -5.14 eV/atom
DFT formation energy: -560 meV/atom

```
BaCoBiP
1.0
-2.8854 1.6730 -2.6165
-2.9222 -2.6718 1.5142
-2.8779 7.7577 8.1342
Ba Co Bi P
2 2 2 2
direct
0.7500 0.7500 0.2275 Ba
0.2500 0.2500 0.7725 Ba
0.7500 0.2500 0.0000 Co
0.2500 0.7500 0.0000 Co
0.2500 0.7500 0.5000 Bi
0.7500 0.2500 0.5000 Bi
0.7500 0.7500 0.9152 P
0.2500 0.2500 0.0848 P
```

=====

Density functional theory data (GGA-PBE) for crystalline DyUTc4 at its relaxed geometry.

Results
calculated total energy: -9.54 eV/atom
DFT formation energy: 21 meV/atom

```
DyUTc4
1.0
5.3724 0.0000 0.0000
2.6862 4.6526 0.0000
2.6862 1.5509 4.3865
U Tc Dy
1 4 1
direct
0.2500 0.2500 0.2500 U
0.6253 0.6253 0.1241 Tc
0.6253 0.1241 0.6253 Tc
0.6253 0.6253 0.6253 Tc
0.1241 0.6253 0.6253 Tc
0.0000 0.0000 0.0000 Dy
```

=====

Q: The lowest DFT formation energy belongs to which entry?
A: BaCoBiP

=====

Q: Which formula does entry 2 have?
A: DyUTc4

=====

Q: Among the records above, which one has the lowest calculated total energy?
A: DyUTc4

=====

Please write out number 1 again, unchanged.
Density functional theory data (GGA-PBE) for crystalline BaCoBiP at its relaxed geometry.

Results
calculated total energy: -5.14 eV/atom
DFT formation energy: -560 meV/atom

```
BaCoBiP
1.0
-2.8854 1.6730 -2.6165
-2.9222 -2.6718 1.5142
-2.8779 7.7577 8.1342
Ba Co Bi P
2 2 2 2
direct
0.7500 0.7500 0.2275 Ba
0.2500 0.2500 0.7725 Ba
0.7500 0.2500 0.0000 Co
0.2500 0.7500 0.0000 Co
0.2500 0.7500 0.5000 Bi
0.7500 0.2500 0.5000 Bi
0.7500 0.7500 0.9152 P
0.2500 0.2500 0.0848 P
```